This record from the Alexandria database describes a relaxed Rb2GaBr7 crystal. The functional is PBE. Values from VASP.

Cell and atoms, written as Quantum ESPRESSO input:
```
&SYSTEM
  ibrav = 0, nat = 10, ntyp = 3
/
ATOMIC_SPECIES
Rb 85.47 Rb.upf
Ga 69.72 Ga.upf
Br 79.90 Br.upf
ATOMIC_POSITIONS angstrom
Rb 3.886 0.000 2.972
Rb 0.000 3.886 2.972
Ga 0.000 0.000 0.000
Br 0.000 0.000 2.545
Br 1.836 1.836 0.000
Br 2.050 -2.050 5.943
Br 0.000 0.000 5.943
Br -2.050 2.050 5.943
Br 2.050 2.050 5.943
Br 0.000 0.000 9.342
CELL_PARAMETERS angstrom
-3.886 3.886 5.943
3.886 -3.886 5.943
3.886 3.886 -5.943
```

=====

! Rb2GaBr4 PBE relaxed; values from VASP
&SYSTEM
  ibrav = 0, nat = 7, ntyp = 3
/
ATOMIC_SPECIES
Rb 85.47 Rb.upf
Ga 69.72 Ga.upf
Br 79.90 Br.upf
ATOMIC_POSITIONS angstrom
Rb 4.153 0.000 2.856
Rb 0.000 4.153 2.856
Ga 0.000 0.000 0.000
Br 1.622 1.622 -1.272
Br 2.531 -2.531 6.984
Br 2.531 2.531 4.439
Br -2.531 2.531 6.984
CELL_PARAMETERS angstrom
-4.153 4.153 5.712
4.153 -4.153 5.712
4.153 4.153 -5.712
! ΔE to the lowest computed polymorph: 84.3 meV/atom

=====

! Rb3GaBr4 PBE relaxed; values from VASP
&SYSTEM
  ibrav = 0, nat = 16, ntyp = 3
/
ATOMIC_SPECIES
Rb 85.47 Rb.upf
Ga 69.72 Ga.upf
Br 79.90 Br.upf
ATOMIC_POSITIONS angstrom
Rb 0.000 1.533 6.907
Rb 2.886 3.242 3.455
Rb 2.984 6.615 0.000
Rb 5.871 8.324 3.452
Rb 8.757 6.615 0.000
Rb 8.855 3.242 3.455
Ga 0.000 8.121 3.349
Ga 5.871 1.736 6.804
Br 0.000 1.372 3.453
Br 0.000 8.073 0.553
Br 2.844 6.675 3.458
Br 3.026 3.182 0.004
Br 5.871 1.784 4.008
Br 5.871 8.485 6.907
Br 8.715 3.182 0.004
Br 8.897 6.675 3.458
CELL_PARAMETERS angstrom
11.741 0.000 0.000
0.000 9.857 0.000
0.000 0.000 6.909
! ΔE to the lowest computed polymorph: 25.5 meV/atom

=====

! Rb2Ga2Br7 PBE relaxed; values from VASP
&SYSTEM
  ibrav = 0, nat = 22, ntyp = 3
/
ATOMIC_SPECIES
Rb 85.47 Rb.upf
Ga 69.72 Ga.upf
Br 79.90 Br.upf
ATOMIC_POSITIONS angstrom
Rb 0.200 2.527 3.806
Rb -0.620 5.817 8.114
Rb 5.557 10.872 0.503
Rb 4.736 14.162 4.811
Ga 1.032 10.128 5.463
Ga 1.852 14.906 1.154
Ga 3.084 1.784 7.462
Ga 3.904 6.561 3.154
Br -0.748 10.914 4.018
Br -1.569 14.121 8.326
Br 0.032 9.221 7.511
Br 0.852 15.813 3.202
Br 1.855 3.730 6.664
Br 2.675 4.615 2.356
Br 3.288 0.000 0.000
Br 2.468 8.345 4.308
Br 2.261 12.075 6.261
Br 3.081 12.960 1.953
Br 4.084 0.876 5.415
Br 4.904 7.469 1.106
Br 6.505 2.569 0.290
Br 5.685 5.776 4.599
CELL_PARAMETERS angstrom
6.577 0.000 0.000
0.000 16.690 0.000
-1.641 0.000 8.617
! ΔE to the lowest computed polymorph: 0.0 meV/atom

=====

no.,raw formation energy (kcal/mol of atoms)
1,-20.21
2,-27.57
3,-32.38
4,-25.48